This record from Alexandria describes a relaxed LiAg4Sn crystal. The functional is PBE.

Polymorph energy (0 for the lowest one) (meV/atom): 0
Total DFT energy (no corrections) (eV per atom): -2.9395
E_form (eV per atom): -0.05
SG: C2/c (15)
Theoretical density (g/cm³): 8.1
Total moment (μB/f.u.): 0.00

a b c (Å): 5.078 5.711 8.350
angles (deg): 70.00 89.95 89.85
Atoms (fractional coordinates):
Ag (0.628, 0.801, 0.937)
Ag (0.243, 0.045, 0.409)
Ag (0.128, 0.738, 0.063)
Ag (0.872, 0.262, 0.937)
Ag (0.257, 0.546, 0.409)
Ag (0.743, 0.454, 0.591)
Ag (0.757, 0.955, 0.591)
Ag (0.372, 0.199, 0.063)
Sn (0.750, 0.368, 0.264)
Sn (0.250, 0.632, 0.736)
Li (0.750, 0.866, 0.268)
Li (0.250, 0.134, 0.732)

This record from Alexandria describes a relaxed Ba2SnGeMo crystal. The functional is PBE.

Total DFT energy (no corrections) (eV per atom): -3.7520
E_form (eV per atom): 0.91
SG: P4/mmm (123)
Theoretical density (g/cm³): 4.1
Total moment (μB/f.u.): 5.21

a b c (Å): 6.665 6.665 5.151
angles (deg): 90.00 90.00 90.00
Last column: magnetic moment on the atom in μB.
Atoms (fractional coordinates):
Ge (0.000, 0.000, 0.500)  0.00
Mo (0.500, 0.500, 0.500)  3.85
Sn (0.000, 0.000, 0.000)  0.03
Ba (0.000, 0.500, 0.000)  0.03
Ba (0.500, 0.000, 0.000)  0.03

This record from Alexandria describes a relaxed SrY4Pd5 crystal. The functional is PBE.

Total DFT energy (no corrections) (eV per atom): -6.1715
E_form (eV per atom): -0.82
SG: P4/mmm (123)
Theoretical density (g/cm³): 7.2
Total moment (μB/f.u.): 0.00

a b c (Å): 3.537 3.537 18.087
angles (deg): 90.00 90.00 90.00
Atoms (fractional coordinates):
Pd (0.500, 0.500, 0.500)
Pd (0.500, 0.500, 0.879)
Pd (0.500, 0.500, 0.121)
Pd (0.500, 0.500, 0.693)
Pd (0.500, 0.500, 0.307)
Y (0.000, 0.000, 0.597)
Y (0.000, 0.000, 0.403)
Y (0.000, 0.000, 0.207)
Y (0.000, 0.000, 0.793)
Sr (0.000, 0.000, 0.000)

This record from Alexandria describes a relaxed SrCa2SbPb crystal. The functional is PBE.

Total DFT energy (no corrections) (eV per atom): -2.9345
SG: P4/mmm (123)
Theoretical density (g/cm³): 3.9
Energy relative to the elements, uncorrected (eV/atom): -0.23
Total moment (μB/f.u.): 0.00

a b c (Å): 5.862 6.187 5.862
angles (deg): 90.00 90.00 90.00
Atoms (fractional coordinates):
Sr (0.000, 0.500, 0.000)
Ca (0.000, 0.000, 0.500)
Ca (0.500, 0.000, 0.000)
Sb (0.500, 0.500, 0.500)
Pb (0.000, 0.000, 0.000)

This record from Alexandria describes a relaxed Ga5Au crystal. The functional is PBE.

Total DFT energy (no corrections) (eV per atom): -3.0886
E_form (eV per atom): -0.02
SG: Cmmm (65)
Theoretical density (g/cm³): 8.0
Total moment (μB/f.u.): 0.00

a b c (Å): 3.089 4.711 8.167
angles (deg): 106.76 90.00 90.00
Atoms (fractional coordinates):
Ga (0.000, 0.311, 0.621)
Ga (0.000, 0.689, 0.379)
Ga (0.500, 0.851, 0.701)
Ga (0.500, 0.149, 0.299)
Ga (0.500, 0.500, 0.000)
Au (0.000, 0.000, 0.000)

This record from Alexandria describes a relaxed Ce2TmThBi4 crystal. The functional is PBE.

Total DFT energy (no corrections) (eV per atom): -5.6503
E_form (eV per atom): -0.74
SG: P2/m (10)
Theoretical density (g/cm³): 9.4
Total moment (μB/f.u.): 2.01

a b c (Å): 4.561 7.949 7.871
angles (deg): 70.58 90.00 90.00
Last column: magnetic moment on the atom in μB.
Atoms (fractional coordinates):
Bi (0.500, 0.258, 0.742)  -0.02
Bi (0.000, 0.253, 0.255)  -0.02
Bi (0.000, 0.747, 0.745)  -0.02
Bi (0.500, 0.742, 0.258)  -0.02
Ce (0.500, 0.000, 0.500)  0.88
Ce (0.000, 0.000, 0.000)  0.94
Th (0.500, 0.500, 0.000)  0.01
Tm (0.000, 0.500, 0.500)  -0.01

This record from Alexandria describes a relaxed Sr2AlInHg6 crystal. The functional is PBE.

Total DFT energy (no corrections) (eV per atom): -1.3975
E_form (eV per atom): -0.23
SG: P-1 (2)
Theoretical density (g/cm³): 8.8
Total moment (μB/f.u.): 0.00

a b c (Å): 8.147 7.009 7.432
angles (deg): 82.51 46.64 98.66
Atoms (fractional coordinates):
Hg (0.793, 0.890, 0.801)
Hg (0.831, 0.333, 0.906)
Hg (0.342, 0.302, 0.469)
Hg (0.658, 0.698, 0.531)
Hg (0.169, 0.667, 0.094)
Hg (0.207, 0.110, 0.199)
Sr (0.310, 0.776, 0.458)
Sr (0.690, 0.224, 0.542)
Al (0.500, 0.500, 0.000)
In (0.000, 0.000, 0.000)

This record from Alexandria describes a relaxed LiDy2TmS5 crystal. The functional is PBE.

Total DFT energy (no corrections) (eV per atom): -5.9085
SG: Cmc2_1 (36)
Theoretical density (g/cm³): 6.0
Energy relative to the elements, uncorrected (eV/atom): -1.88
Total moment (μB/f.u.): 0.00

a b c (Å): 3.873 8.285 11.730
angles (deg): 90.00 90.00 103.52
Atoms (fractional coordinates):
S (0.637, 0.274, 0.501)
S (0.286, 0.571, 0.662)
S (0.047, 0.094, 0.074)
S (0.500, 0.000, 0.784)
S (0.693, 0.385, 0.843)
S (0.714, 0.429, 0.162)
S (0.363, 0.726, 0.001)
S (0.307, 0.615, 0.343)
S (0.953, 0.906, 0.574)
S (0.500, 0.000, 0.284)
Li (0.514, 0.028, 0.981)
Li (0.486, 0.972, 0.481)
Dy (0.125, 0.249, 0.294)
Dy (0.875, 0.751, 0.794)
Dy (0.893, 0.786, 0.184)
Dy (0.107, 0.214, 0.684)
Tm (0.197, 0.394, 0.002)
Tm (0.803, 0.606, 0.502)

Question: Which formula does entry 4 have?
Answer: SrCa2SbPb